# 1
Entry from OQMD: a geometry-optimized PmMg structure (PBE).

Summary:
**E**: -6.19 eV/f.u.
**Space-group type**: No. 187
**Relative energy among the computed polymorphs**: 0.32 eV/f.u.

```
6
Lattice="3.4703 0.0000 0.0000 -1.7352 3.0054 0.0000 0.0000 0.0000 16.8974" Properties=species:S:1:pos:R:3 pbc="T T T"
Pm 0.0000 0.0000 0.0000
Pm 0.0000 2.0036 3.0784
Pm 0.0000 2.0036 13.8190
Mg 0.0000 0.0000 5.9170
Mg 0.0000 0.0000 10.9804
Mg 0.0000 2.0036 8.4487
```

=====

# 2
Entry from OQMD: a geometry-optimized PmMg3 structure (PBE).

Summary:
**E**: -9.84 eV/f.u.
**Space-group type**: No. 139

```
4
Lattice="-2.6082 2.6082 3.6998 2.6082 -2.6082 3.6998 2.6082 2.6082 -3.6998" Properties=species:S:1:pos:R:3 pbc="T T T"
Pm 0.0000 0.0000 0.0000
Mg 2.6082 0.0000 1.8499
Mg 0.0000 0.0000 3.6998
Mg 0.0000 2.6082 1.8499
```

=====

# 3
Entry from OQMD: a geometry-optimized PmMg structure (PBE).

Summary:
**E**: -6.29 eV/f.u.
**Space-group type**: No. 57
**Relative energy among the computed polymorphs**: 0.22 eV/f.u.

```
8
Lattice="6.8660 0.0000 0.0000 0.0000 6.1074 0.0000 0.0000 0.0000 5.5468" Properties=species:S:1:pos:R:3 pbc="T T T"
Pm 0.9786 0.4670 1.3867
Pm 0.9786 2.5867 4.1601
Pm 5.8873 3.5207 1.3867
Pm 5.8873 5.6404 4.1601
Mg 2.5587 3.6223 1.3867
Mg 2.5587 5.5388 4.1601
Mg 4.3073 0.5686 1.3867
Mg 4.3073 2.4851 4.1601
```